Compound: CsLaZr6FeCl18
Source: the Alexandria database
Functional: PBE
Structure: relaxed

Output
Crystal system: trigonal
Size of the total moment, Bohr magnetons per cell: 0.00
ΔE_f (raw), kJ/mol of atoms: -175.7
E, eV per atom: -5.4790

a b c (Å): 9.9171 9.9171 18.7787
angles (deg): 90.00 90.00 120.00
Space group P-31c (No. 163)
Inequivalent atoms, fractional coordinates:
Cs 0.3333 0.6667 0.2500 (multiplicity 2)
La 0.3333 0.6667 0.7500 (multiplicity 2)
Zr 0.0455 0.2198 0.9252 (multiplicity 12)
Fe 0.0000 0.0000 0.0000 (multiplicity 2)
Cl 0.0480 0.2335 0.1578 (multiplicity 12)
Cl 0.0851 0.4538 0.8362 (multiplicity 12)
Cl 0.1390 0.4159 0.4990 (multiplicity 12)